# 1
! Cu12Au3Se5 GGA-PBE optimized geometry; values from VASP
! Symmetry: Ia-3d (230)
! Total magnetic moment, Bohr magnetons per cell: 0.00
! Raw formation energy, eV/f.u.: 1.3
&SYSTEM
  ibrav = 0, nat = 80, ntyp = 3
/
ATOMIC_SPECIES
Cu 63.55 Cu.upf
Au 196.97 Au.upf
Se 78.96 Se.upf
ATOMIC_POSITIONS angstrom
Cu 2.201 -0.159 1.019
Cu 8.583 4.614 -3.753
Cu 7.031 -1.019 2.201
Cu 9.391 0.159 1.019
Cu 8.583 -2.575 3.753
Cu 10.943 -1.394 2.575
Cu 1.019 2.201 -0.159
Cu 9.765 3.436 -1.394
Cu 4.614 3.753 -1.394
Cu 6.170 2.201 0.159
Cu -0.159 1.019 2.201
Cu 3.753 -1.394 4.614
Cu 7.031 6.170 -2.201
Cu 3.753 1.394 2.575
Cu 4.614 -3.753 8.583
Cu 6.170 -2.201 7.031
Cu 2.575 3.753 1.394
Cu 8.209 4.989 0.159
Cu 2.201 7.031 -1.019
Cu 3.753 8.583 -2.575
Cu 7.031 1.019 4.989
Cu 8.583 2.575 3.436
Cu 1.394 2.575 3.753
Cu 2.201 0.159 6.170
Cu 4.989 7.031 1.019
Cu 5.796 4.614 3.436
Cu -1.394 4.614 3.753
Cu 0.159 6.170 2.201
Cu 3.436 -1.394 9.765
Cu 4.989 0.159 8.209
Cu -1.019 2.201 7.031
Cu 4.614 3.436 5.796
Cu 1.019 9.391 0.159
Cu 2.575 10.943 -1.394
Cu 3.436 5.796 4.614
Cu 0.159 1.019 9.391
Cu 3.436 8.583 2.575
Cu 7.348 6.170 4.989
Cu 1.019 4.989 7.031
Cu 2.575 3.436 8.583
Cu -2.575 3.753 8.583
Cu 6.170 4.989 7.348
Cu -3.753 8.583 4.614
Cu -1.394 9.765 3.436
Cu -2.201 7.031 6.170
Cu 0.159 8.209 4.989
Cu -1.394 2.575 10.943
Cu 4.989 7.348 6.170
Au 3.595 1.797 0.000
Au 7.190 3.595 -1.797
Au 1.797 0.000 3.595
Au 8.987 0.000 3.595
Au 0.000 3.595 1.797
Au 3.595 -1.797 7.190
Au 3.595 8.987 0.000
Au 7.190 3.595 5.392
Au -1.797 7.190 3.595
Au 5.392 7.190 3.595
Au 0.000 3.595 8.987
Au 3.595 5.392 7.190
Se 0.000 0.000 0.000
Se 3.595 3.595 -3.595
Se 3.595 -3.595 3.595
Se 7.190 0.000 0.000
Se 10.784 1.797 0.000
Se 7.190 -3.595 5.392
Se 5.392 7.190 -3.595
Se 5.392 0.000 3.595
Se 3.595 5.392 0.000
Se 7.190 3.595 1.797
Se -3.595 3.595 3.595
Se 0.000 7.190 0.000
Se 0.000 0.000 7.190
Se 3.595 3.595 3.595
Se 0.000 3.595 5.392
Se 3.595 1.797 7.190
Se 1.797 7.190 3.595
Se 1.797 0.000 10.784
Se 0.000 10.784 1.797
Se -3.595 5.392 7.190
CELL_PARAMETERS angstrom
-7.190 7.190 7.190
7.190 -7.190 7.190
7.190 7.190 -7.190

# 2
! KZnCd2 GGA-PBE optimized geometry; values from VASP
! Symmetry: I-42d (122)
! Total magnetic moment, Bohr magnetons per cell: 0.00
! Total energy, eV per atom: -0.95
&SYSTEM
  ibrav = 0, nat = 8, ntyp = 3
/
ATOMIC_SPECIES
K 39.10 K.upf
Zn 65.41 Zn.upf
Cd 112.41 Cd.upf
ATOMIC_POSITIONS angstrom
K 0.000 0.000 0.000
K 0.000 2.841 4.592
Zn 2.841 0.000 4.592
Zn 0.000 0.000 9.183
Cd 1.420 -0.128 6.888
Cd 2.713 1.420 2.296
Cd 1.420 2.969 -2.296
Cd 0.128 1.420 11.479
CELL_PARAMETERS angstrom
-2.841 2.841 9.183
2.841 -2.841 9.183
2.841 2.841 -9.183

# 3
! CsHI GGA-PBE optimized geometry; values from VASP
! Symmetry: Immm (71)
! Energy above the most stable polymorph in this dataset, meV per atom: 0
! Total magnetic moment, Bohr magnetons per cell: 0.00
&SYSTEM
  ibrav = 0, nat = 6, ntyp = 3
/
ATOMIC_SPECIES
Cs 132.91 Cs.upf
H 1.01 H.upf
I 126.90 I.upf
ATOMIC_POSITIONS angstrom
Cs 0.000 0.000 2.843
Cs 0.000 0.000 16.140
H 2.667 0.378 0.000
H 0.000 2.376 9.491
I 0.000 0.000 6.696
I 0.000 0.000 12.287
CELL_PARAMETERS angstrom
-2.667 2.754 9.491
2.667 -2.754 9.491
2.667 2.754 -9.491

# 4
! Nd3Ge GGA-PBE optimized geometry; values from VASP
! Symmetry: Pm-3m (221)
! Energy above the most stable polymorph in this dataset, meV per atom: 108
! Total magnetic moment, Bohr magnetons per cell: 0.00
&SYSTEM
  ibrav = 0, nat = 4, ntyp = 2
/
ATOMIC_SPECIES
Nd 144.24 Nd.upf
Ge 72.64 Ge.upf
ATOMIC_POSITIONS angstrom
Nd 0.000 0.000 2.408
Nd 0.000 2.408 0.000
Nd 2.408 0.000 0.000
Ge 2.408 2.408 2.408
CELL_PARAMETERS angstrom
4.816 0.000 0.000
0.000 4.816 0.000
0.000 0.000 4.816

# 5
! NaSrSn2B GGA-PBE optimized geometry; values from VASP
! Symmetry: P4/mmm (123)
! Total magnetic moment, Bohr magnetons per cell: 0.52
! Total energy, eV per atom: -2.34
&SYSTEM
  ibrav = 0, nat = 5, ntyp = 4
/
ATOMIC_SPECIES
Na 22.99 Na.upf
Sr 87.62 Sr.upf
Sn 118.71 Sn.upf
B 10.81 B.upf
ATOMIC_POSITIONS angstrom
Na 0.000 0.000 0.000
Sr 3.081 3.081 2.525
Sn 0.000 3.081 2.525
Sn 3.081 0.000 2.525
B 3.081 3.081 0.000
CELL_PARAMETERS angstrom
6.163 0.000 0.000
0.000 6.163 0.000
0.000 0.000 5.049

# 6
! Nd2Zn3CrNi12 GGA-PBE optimized geometry; values from VASP
! Symmetry: R-3m (166)
! Total magnetic moment, Bohr magnetons per cell: 2.35
! Total energy, eV per atom: -4.99
&SYSTEM
  ibrav = 0, nat = 18, ntyp = 4
/
ATOMIC_SPECIES
Nd 144.24 Nd.upf
Zn 65.41 Zn.upf
Cr 52.00 Cr.upf
Ni 58.69 Ni.upf
ATOMIC_POSITIONS angstrom
Nd 0.000 0.000 3.917
Nd 0.000 0.000 21.561
Zn -1.516 -0.875 8.493
Zn -1.516 0.875 16.986
Zn 0.000 1.750 8.493
Cr 0.000 0.000 12.739
Ni 0.000 -2.130 7.177
Ni -1.844 1.065 7.177
Ni -1.266 -0.731 10.973
Ni -1.844 -1.065 18.302
Ni 0.000 -1.461 14.505
Ni -1.266 0.731 14.505
Ni 1.266 -0.731 10.973
Ni 0.000 1.461 10.973
Ni 1.844 1.065 7.177
Ni 1.266 0.731 14.505
Ni 1.844 -1.065 18.302
Ni 0.000 2.130 18.302
CELL_PARAMETERS angstrom
3.032 1.750 8.493
-3.032 1.750 8.493
0.000 -3.501 8.493

# 7
! Pm2MgBiC GGA-PBE optimized geometry; values from VASP
! Symmetry: P4/mmm (123)
! Total magnetic moment, Bohr magnetons per cell: 0.00
! Total energy, eV per atom: -5.25
&SYSTEM
  ibrav = 0, nat = 5, ntyp = 4
/
ATOMIC_SPECIES
Pm 145.00 Pm.upf
Mg 24.30 Mg.upf
Bi 208.98 Bi.upf
C 12.01 C.upf
ATOMIC_POSITIONS angstrom
Pm 0.000 2.591 0.000
Pm 2.591 0.000 0.000
Mg 0.000 0.000 2.213
Bi 2.591 2.591 2.213
C 0.000 0.000 0.000
CELL_PARAMETERS angstrom
5.183 0.000 0.000
0.000 5.183 0.000
0.000 0.000 4.426

# 8
! RbTaCo2C GGA-PBE optimized geometry; values from VASP
! Symmetry: P4/mmm (123)
! Total magnetic moment, Bohr magnetons per cell: 1.35
! Total energy, eV per atom: -3.97
&SYSTEM
  ibrav = 0, nat = 5, ntyp = 4
/
ATOMIC_SPECIES
Rb 85.47 Rb.upf
Ta 180.95 Ta.upf
Co 58.93 Co.upf
C 12.01 C.upf
ATOMIC_POSITIONS angstrom
Rb 0.000 0.000 0.000
Ta 2.195 2.195 2.197
Co 0.000 2.195 0.000
Co 2.195 0.000 0.000
C 0.000 0.000 2.197
CELL_PARAMETERS angstrom
4.390 0.000 0.000
0.000 4.390 0.000
0.000 0.000 4.395

# 9
! PaP2PtO8 GGA-PBE optimized geometry; values from VASP
! Symmetry: P-3m1 (164)
! Total magnetic moment, Bohr magnetons per cell: 2.27
! Raw formation energy, eV/f.u.: -23.8
&SYSTEM
  ibrav = 0, nat = 12, ntyp = 4
/
ATOMIC_SPECIES
Pa 231.04 Pa.upf
P 30.97 P.upf
Pt 195.08 Pt.upf
O 16.00 O.upf
ATOMIC_POSITIONS angstrom
Pa 0.000 0.000 0.000
P 0.000 2.992 1.367
P 2.591 1.496 5.787
Pt 0.000 0.000 3.577
O 0.000 1.511 1.829
O -1.283 3.733 1.829
O 0.000 2.992 6.981
O 1.309 0.755 5.325
O 1.283 3.733 1.829
O 2.591 1.496 0.174
O 3.874 0.755 5.325
O 2.591 2.977 5.325
CELL_PARAMETERS angstrom
5.182 0.000 0.000
-2.591 4.488 0.000
0.000 0.000 7.154

# 10
! Li2Zn2GaAu5 GGA-PBE optimized geometry; values from VASP
! Symmetry: P4/mbm (127)
! Total magnetic moment, Bohr magnetons per cell: 0.00
! Total energy, eV per atom: -2.87
&SYSTEM
  ibrav = 0, nat = 20, ntyp = 4
/
ATOMIC_SPECIES
Li 6.94 Li.upf
Zn 65.41 Zn.upf
Ga 69.72 Ga.upf
Au 196.97 Au.upf
ATOMIC_POSITIONS angstrom
Li 1.561 3.481 0.000
Li 3.481 8.523 0.000
Li 6.604 1.561 0.000
Li 8.523 6.604 0.000
Zn 1.388 6.430 0.000
Zn 3.655 1.388 0.000
Zn 6.430 8.697 0.000
Zn 8.697 3.655 0.000
Ga 0.000 0.000 0.000
Ga 5.042 5.042 0.000
Au 0.000 5.042 1.726
Au 1.284 8.418 1.726
Au 1.666 1.284 1.726
Au 3.376 6.327 1.726
Au 3.758 3.376 1.726
Au 5.042 0.000 1.726
Au 6.327 6.709 1.726
Au 6.709 3.758 1.726
Au 8.418 8.800 1.726
Au 8.800 1.666 1.726
CELL_PARAMETERS angstrom
10.085 0.000 0.000
0.000 10.085 0.000
0.000 0.000 3.451

# 11
! NaNbCrGe2 GGA-PBE optimized geometry; values from VASP
! Symmetry: P4/mmm (123)
! Total magnetic moment, Bohr magnetons per cell: 3.47
! Total energy, eV per atom: -5.03
&SYSTEM
  ibrav = 0, nat = 5, ntyp = 4
/
ATOMIC_SPECIES
Na 22.99 Na.upf
Nb 92.91 Nb.upf
Cr 52.00 Cr.upf
Ge 72.64 Ge.upf
ATOMIC_POSITIONS angstrom
Na 0.000 0.000 0.000
Nb 0.000 0.000 2.750
Cr 2.499 2.499 0.000
Ge 0.000 2.499 2.750
Ge 2.499 0.000 2.750
CELL_PARAMETERS angstrom
4.998 0.000 0.000
0.000 4.998 0.000
0.000 0.000 5.501

# 12
! Te2AsRhN GGA-PBE optimized geometry; values from VASP
! Symmetry: P4/mmm (123)
! Energy above the most stable polymorph in this dataset, meV per atom: 0
! Total magnetic moment, Bohr magnetons per cell: 0.00
! Raw formation energy, eV/f.u.: 2.4
&SYSTEM
  ibrav = 0, nat = 5, ntyp = 4
/
ATOMIC_SPECIES
Te 127.60 Te.upf
As 74.92 As.upf
Rh 102.91 Rh.upf
N 14.01 N.upf
ATOMIC_POSITIONS angstrom
Te 0.000 2.718 0.000
Te 2.718 0.000 0.000
As 0.000 0.000 1.836
Rh 2.718 2.718 0.000
N 2.718 2.718 1.836
CELL_PARAMETERS angstrom
5.436 0.000 0.000
0.000 5.436 0.000
0.000 0.000 3.673

- Which of these has the highest total magnetic moment?
  NaNbCrGe2

- The highest total magnetic moment belongs to which entry?
  NaNbCrGe2

- The highest total magnetic moment belongs to which entry?
  NaNbCrGe2